(1)
! SbPd3W (GGA-PBE, relaxed); values from VASP
&SYSTEM
  ibrav = 0, nat = 5, ntyp = 3
/
ATOMIC_SPECIES
Sb 121.76 Sb.upf
Pd 106.42 Pd.upf
W 183.84 W.upf
CELL_PARAMETERS angstrom
4.848 0.000 0.000
0.000 4.848 0.000
0.000 0.000 4.848
ATOMIC_POSITIONS crystal
Sb 0.000 0.000 0.000
Pd 0.000 0.000 0.500
Pd 0.000 0.500 0.000
Pd 0.500 0.000 0.000
W 0.500 0.500 0.500
! * symmetry: Pm-3m, No. 221
! * uncorrected energy: -5.270 eV/atom
! * polymorph energy (0 for the lowest one): 0.237 eV/atom
! * total moment: 3.57 Bohr magnetons per cell
! * formation energy without anion corrections: 1.26 eV/atom



(2)
! Y3Sb2Pd7 (GGA-PBE, relaxed); values from VASP
&SYSTEM
  ibrav = 0, nat = 12, ntyp = 3
/
ATOMIC_SPECIES
Y 88.91 Y.upf
Sb 121.76 Sb.upf
Pd 106.42 Pd.upf
CELL_PARAMETERS angstrom
-2.057 2.057 14.320
2.057 -2.057 14.320
2.057 2.057 -14.320
ATOMIC_POSITIONS crystal
Y 0.000 0.000 0.000
Y 0.177 0.177 0.000
Y 0.823 0.823 0.000
Sb 0.369 0.369 0.000
Sb 0.631 0.631 0.000
Pd 0.073 0.573 0.500
Pd 0.274 0.274 0.000
Pd 0.427 0.927 0.500
Pd 0.500 0.500 0.000
Pd 0.573 0.073 0.500
Pd 0.726 0.726 0.000
Pd 0.927 0.427 0.500
! * symmetry: I4/mmm, No. 139
! * uncorrected energy: -6.095 eV/atom
! * total moment: 0.00 Bohr magnetons per cell
! * formation energy without anion corrections: -0.76 eV/atom



(3)
! YSbPd3 (GGA-PBE, relaxed); values from VASP
&SYSTEM
  ibrav = 0, nat = 5, ntyp = 3
/
ATOMIC_SPECIES
Y 88.91 Y.upf
Sb 121.76 Sb.upf
Pd 106.42 Pd.upf
CELL_PARAMETERS angstrom
5.036 0.000 0.000
0.000 5.036 0.000
0.000 0.000 5.036
ATOMIC_POSITIONS crystal
Y 0.000 0.000 0.000
Sb 0.500 0.500 0.500
Pd 0.000 0.000 0.500
Pd 0.000 0.500 0.000
Pd 0.500 0.000 0.000
! * symmetry: Pm-3m, No. 221
! * uncorrected energy: -4.768 eV/atom
! * polymorph energy (0 for the lowest one): 0.881 eV/atom
! * total moment: 0.00 Bohr magnetons per cell
! * formation energy without anion corrections: 0.46 eV/atom



(4)
! Y2Sb3Pd9 (GGA-PBE, relaxed); values from VASP
&SYSTEM
  ibrav = 0, nat = 28, ntyp = 3
/
ATOMIC_SPECIES
Y 88.91 Y.upf
Sb 121.76 Sb.upf
Pd 106.42 Pd.upf
CELL_PARAMETERS angstrom
6.943 -4.015 0.000
6.943 4.015 0.000
-4.573 0.000 9.361
ATOMIC_POSITIONS crystal
Y 0.084 0.257 0.250
Y 0.257 0.084 0.750
Y 0.743 0.916 0.250
Y 0.916 0.743 0.750
Sb 0.000 0.500 0.000
Sb 0.153 0.677 0.500
Sb 0.323 0.847 0.000
Sb 0.500 0.000 0.500
Sb 0.677 0.153 0.000
Sb 0.847 0.323 0.500
Pd 0.021 0.868 0.084
Pd 0.132 0.979 0.416
Pd 0.185 0.361 0.576
Pd 0.222 0.576 0.252
Pd 0.305 0.481 0.937
Pd 0.361 0.185 0.076
Pd 0.374 0.626 0.750
Pd 0.424 0.778 0.248
Pd 0.481 0.305 0.437
Pd 0.519 0.695 0.563
Pd 0.576 0.222 0.752
Pd 0.626 0.374 0.250
Pd 0.639 0.815 0.924
Pd 0.695 0.519 0.063
Pd 0.778 0.424 0.748
Pd 0.815 0.639 0.424
Pd 0.868 0.021 0.584
Pd 0.979 0.132 0.916
! * symmetry: C2/c, No. 15
! * uncorrected energy: -5.853 eV/atom
! * total moment: 0.00 Bohr magnetons per cell
! * formation energy without anion corrections: -0.71 eV/atom



(5)
! Y2SbPd9 (GGA-PBE, relaxed); values from VASP
&SYSTEM
  ibrav = 0, nat = 12, ntyp = 3
/
ATOMIC_SPECIES
Y 88.91 Y.upf
Sb 121.76 Sb.upf
Pd 106.42 Pd.upf
CELL_PARAMETERS angstrom
4.114 0.000 0.000
0.000 4.114 0.000
0.000 0.000 12.268
ATOMIC_POSITIONS crystal
Y 0.000 0.000 0.166
Y 0.000 0.000 0.834
Sb 0.000 0.000 0.500
Pd 0.000 0.500 0.000
Pd 0.000 0.500 0.341
Pd 0.000 0.500 0.659
Pd 0.500 0.000 0.000
Pd 0.500 0.000 0.341
Pd 0.500 0.000 0.659
Pd 0.500 0.500 0.173
Pd 0.500 0.500 0.500
Pd 0.500 0.500 0.827
! * symmetry: P4/mmm, No. 123
! * uncorrected energy: -6.016 eV/atom
! * total moment: 0.00 Bohr magnetons per cell
! * formation energy without anion corrections: -0.70 eV/atom



(6)
! YSb2Pd9 (GGA-PBE, relaxed); values from VASP
&SYSTEM
  ibrav = 0, nat = 12, ntyp = 3
/
ATOMIC_SPECIES
Y 88.91 Y.upf
Sb 121.76 Sb.upf
Pd 106.42 Pd.upf
CELL_PARAMETERS angstrom
4.088 0.000 0.000
0.000 4.088 0.000
0.000 0.000 12.190
ATOMIC_POSITIONS crystal
Y 0.000 0.000 0.000
Sb 0.000 0.000 0.333
Sb 0.000 0.000 0.667
Pd 0.000 0.500 0.173
Pd 0.000 0.500 0.500
Pd 0.000 0.500 0.827
Pd 0.500 0.000 0.173
Pd 0.500 0.000 0.500
Pd 0.500 0.000 0.827
Pd 0.500 0.500 0.000
Pd 0.500 0.500 0.339
Pd 0.500 0.500 0.661
! * symmetry: P4/mmm, No. 123
! * uncorrected energy: -5.657 eV/atom
! * total moment: 0.00 Bohr magnetons per cell
! * formation energy without anion corrections: -0.54 eV/atom



(7)
! YSbPd2 (GGA-PBE, relaxed); values from VASP
&SYSTEM
  ibrav = 0, nat = 4, ntyp = 3
/
ATOMIC_SPECIES
Y 88.91 Y.upf
Sb 121.76 Sb.upf
Pd 106.42 Pd.upf
CELL_PARAMETERS angstrom
3.486 0.000 0.000
0.000 4.389 0.000
0.000 0.000 5.702
ATOMIC_POSITIONS crystal
Y 0.000 0.000 0.000
Sb 0.500 0.000 0.500
Pd 0.500 0.500 0.236
Pd 0.500 0.500 0.764
! * symmetry: Pmmm, No. 47
! * uncorrected energy: -5.945 eV/atom
! * total moment: 0.00 Bohr magnetons per cell
! * formation energy without anion corrections: -0.70 eV/atom



(8)
! YSbPd6 (GGA-PBE, relaxed); values from VASP
&SYSTEM
  ibrav = 0, nat = 8, ntyp = 3
/
ATOMIC_SPECIES
Y 88.91 Y.upf
Sb 121.76 Sb.upf
Pd 106.42 Pd.upf
CELL_PARAMETERS angstrom
2.734 1.578 6.814
-2.734 1.578 6.814
0.000 -3.157 6.814
ATOMIC_POSITIONS crystal
Y 0.000 0.000 0.000
Sb 0.500 0.500 0.500
Pd 0.059 0.570 0.570
Pd 0.430 0.430 0.941
Pd 0.430 0.941 0.430
Pd 0.570 0.059 0.570
Pd 0.570 0.570 0.059
Pd 0.941 0.430 0.430
! * symmetry: R-3m, No. 166
! * uncorrected energy: -5.515 eV/atom
! * polymorph energy (0 for the lowest one): 0.307 eV/atom
! * total moment: 0.00 Bohr magnetons per cell
! * formation energy without anion corrections: -0.30 eV/atom



> Number 4 is which compound?

Y2Sb3Pd9